DFT (PBE) results for crystalline CaPm2Se4 at its relaxed geometry.

Values from the calculation:
* ρ: 5.3 Mg/m³
* energy relative to the elements, uncorrected: -181.9 kJ/mol of atoms
* DFT total energy: -77.3 eV for the cell shown
* space-group type: Cmcm, No. 63
* energy above the most stable polymorph in this dataset: 0.25 eV/f.u.

Unit cell a=7.184 b=7.184 c=14.221 alpha=90.00 beta=90.00 gamma=146.42
Fractional positions:
Ca 0.114 0.886 0.750
Ca 0.886 0.114 0.250
Pm 0.366 0.634 0.572
Pm 0.366 0.634 0.928
Pm 0.634 0.366 0.072
Pm 0.634 0.366 0.428
Se 0.000 0.000 0.000
Se 0.000 0.000 0.500
Se 0.275 0.725 0.120
Se 0.275 0.725 0.380
Se 0.466 0.534 0.750
Se 0.534 0.466 0.250
Se 0.725 0.275 0.620
Se 0.725 0.275 0.880

---

DFT (PBE) results for crystalline Cr3Ni2C at its relaxed geometry.

Values from the calculation:
* ρ: 7.7 Mg/m³
* DFT total energy: -199.3 eV for the cell shown
* space-group type: P4_132, No. 213

Unit cell a=6.277 b=6.277 c=6.277 alpha=90.00 beta=90.00 gamma=90.00
Fractional positions:
Cr 0.050 0.125 0.800
Cr 0.125 0.800 0.050
Cr 0.200 0.550 0.375
Cr 0.300 0.450 0.875
Cr 0.375 0.200 0.550
Cr 0.450 0.875 0.300
Cr 0.550 0.375 0.200
Cr 0.625 0.700 0.950
Cr 0.700 0.950 0.625
Cr 0.800 0.050 0.125
Cr 0.875 0.300 0.450
Cr 0.950 0.625 0.700
Ni 0.065 0.935 0.435
Ni 0.185 0.185 0.185
Ni 0.315 0.815 0.685
Ni 0.435 0.065 0.935
Ni 0.565 0.565 0.565
Ni 0.685 0.315 0.815
Ni 0.815 0.685 0.315
Ni 0.935 0.435 0.065
C 0.125 0.375 0.625
C 0.375 0.625 0.125
C 0.625 0.125 0.375
C 0.875 0.875 0.875